Entry 1:
! PBE-GGA HgMoPb2Br, relaxed; values from VASP
! VASP energy: -3.04 eV/atom
! crystal system: tetragonal
! magnetic moment: 1.770 μB/f.u.
! uncorrected formation energy: 96.9 kJ/mol of atoms
! space-group type: P4/mmm
&SYSTEM
  ibrav = 0, nat = 5, ntyp = 4
/
ATOMIC_SPECIES
Pb 207.20 Pb.upf
Mo 95.94 Mo.upf
Hg 200.59 Hg.upf
Br 79.90 Br.upf
CELL_PARAMETERS angstrom
5.9035 0.0000 0.0000
0.0000 4.6972 0.0000
0.0000 0.0000 5.9035
ATOMIC_POSITIONS angstrom
Pb 0.0000 0.0000 2.9518
Pb 2.9518 0.0000 0.0000
Mo 0.0000 2.3486 0.0000
Hg 2.9518 2.3486 2.9518
Br 0.0000 0.0000 0.0000

Entry 2:
! PBE-GGA Rb2HgMoBr6, relaxed; values from VASP
! VASP energy: -3.26 eV/atom
! distance to the lowest polymorph of the same formula: 0.000 eV/atom
! crystal system: trigonal
! magnetic moment: 2.000 μB/f.u.
! uncorrected formation energy: -92.1 kJ/mol of atoms
! space-group type: R-3m
&SYSTEM
  ibrav = 0, nat = 20, ntyp = 4
/
ATOMIC_SPECIES
Rb 85.47 Rb.upf
Hg 200.59 Hg.upf
Mo 95.94 Mo.upf
Br 79.90 Br.upf
CELL_PARAMETERS angstrom
-6.1322 4.2906 0.5712
-6.5646 -3.0758 1.9456
-0.4149 3.4955 18.6046
ATOMIC_POSITIONS angstrom
Rb -11.0595 2.5403 10.1365
Rb -2.0522 2.1700 10.9850
Rb -9.1480 4.0879 19.0326
Rb -3.9637 0.6224 2.0889
Hg -7.5063 1.5856 6.1371
Hg -5.6053 3.1247 14.9844
Mo 0.0000 0.0000 0.0000
Mo -6.5558 2.3552 10.5607
Br -7.7793 3.9669 8.9809
Br -7.9867 0.4327 9.6403
Br -4.8372 1.9084 8.7068
Br -5.3324 0.7434 12.1406
Br -5.1250 4.2776 11.4812
Br -8.2745 2.8019 12.4147
Br -5.9438 5.6669 17.8612
Br -6.1683 1.8421 18.5748
Br -2.7598 3.4391 17.5646
Br -7.1679 -0.9566 3.2603
Br -6.9434 2.8682 2.5467
Br -10.3519 1.2712 3.5569

Entry 3:
! PBE-GGA Rb2HgMoBr6, relaxed; values from VASP
! VASP energy: -3.23 eV/atom
! distance to the lowest polymorph of the same formula: 0.039 eV/atom
! crystal system: tetragonal
! magnetic moment: 2.375 μB/f.u.
! uncorrected formation energy: -88.3 kJ/mol of atoms
! space-group type: I4/mmm
&SYSTEM
  ibrav = 0, nat = 10, ntyp = 4
/
ATOMIC_SPECIES
Mo 95.94 Mo.upf
Br 79.90 Br.upf
Hg 200.59 Hg.upf
Rb 85.47 Rb.upf
CELL_PARAMETERS angstrom
8.1036 0.0000 0.0000
0.0000 8.1036 0.0000
4.0518 4.0518 5.7437
ATOMIC_POSITIONS angstrom
Mo 4.0518 4.0518 0.0000
Br 4.0518 4.0518 2.5836
Br 8.1036 8.1036 3.1601
Br 2.2244 2.2244 0.0000
Br 5.8793 5.8793 0.0000
Br 5.8793 2.2244 0.0000
Br 2.2244 5.8793 0.0000
Hg 0.0000 0.0000 0.0000
Rb 8.1036 4.0518 2.8719
Rb 4.0518 8.1036 2.8719

Entry 4:
! PBE-GGA SiHgMo2Br, relaxed; values from VASP
! VASP energy: -4.56 eV/atom
! crystal system: tetragonal
! magnetic moment: 2.116 μB/f.u.
! uncorrected formation energy: 120.9 kJ/mol of atoms
! space-group type: P4/mmm
&SYSTEM
  ibrav = 0, nat = 5, ntyp = 4
/
ATOMIC_SPECIES
Mo 95.94 Mo.upf
Si 28.09 Si.upf
Hg 200.59 Hg.upf
Br 79.90 Br.upf
CELL_PARAMETERS angstrom
4.7370 0.0000 0.0000
0.0000 4.9115 0.0000
0.0000 0.0000 4.7370
ATOMIC_POSITIONS angstrom
Mo 0.0000 0.0000 2.3685
Mo 2.3685 0.0000 0.0000
Si 0.0000 0.0000 0.0000
Hg 0.0000 2.4557 0.0000
Br 2.3685 2.4557 2.3685

Entry 5:
! PBE-GGA Ti2HgMoBr, relaxed; values from VASP
! VASP energy: -4.14 eV/atom
! crystal system: tetragonal
! magnetic moment: 3.302 μB/f.u.
! uncorrected formation energy: 152.4 kJ/mol of atoms
! space-group type: P4/mmm
&SYSTEM
  ibrav = 0, nat = 5, ntyp = 4
/
ATOMIC_SPECIES
Mo 95.94 Mo.upf
Hg 200.59 Hg.upf
Br 79.90 Br.upf
Ti 47.87 Ti.upf
CELL_PARAMETERS angstrom
5.1369 0.0000 0.0000
0.0000 5.0877 0.0000
0.0000 0.0000 5.1369
ATOMIC_POSITIONS angstrom
Mo 0.0000 2.5438 0.0000
Hg 0.0000 0.0000 0.0000
Br 2.5684 2.5438 2.5684
Ti 0.0000 0.0000 2.5684
Ti 2.5684 0.0000 0.0000

Entry 6:
! PBE-GGA HgMoWBr2, relaxed; values from VASP
! VASP energy: -3.35 eV/atom
! crystal system: tetragonal
! magnetic moment: 9.958 μB/f.u.
! uncorrected formation energy: 206.2 kJ/mol of atoms
! space-group type: P4/mmm
&SYSTEM
  ibrav = 0, nat = 5, ntyp = 4
/
ATOMIC_SPECIES
Mo 95.94 Mo.upf
Br 79.90 Br.upf
Hg 200.59 Hg.upf
W 183.84 W.upf
CELL_PARAMETERS angstrom
5.6417 0.0000 0.0000
0.0000 5.4909 0.0000
0.0000 0.0000 5.6417
ATOMIC_POSITIONS angstrom
Mo 2.8209 2.7455 2.8209
Br 0.0000 0.0000 2.8209
Br 2.8209 0.0000 0.0000
Hg 0.0000 0.0000 0.0000
W 0.0000 2.7455 0.0000

Entry 7:
! PBE-GGA HgBr2N2, relaxed; values from VASP
! VASP energy: -4.31 eV/atom
! crystal system: monoclinic
! magnetic moment: 0.000 μB/f.u.
! uncorrected formation energy: -23.7 kJ/mol of atoms
! space-group type: C2/m
&SYSTEM
  ibrav = 0, nat = 5, ntyp = 3
/
ATOMIC_SPECIES
Hg 200.59 Hg.upf
Br 79.90 Br.upf
N 14.01 N.upf
CELL_PARAMETERS angstrom
4.0434 0.0001 0.0001
-2.0217 3.6885 -0.0738
0.0003 -0.3223 11.0541
ATOMIC_POSITIONS angstrom
Hg 0.0000 0.0000 0.0000
Br 2.0218 1.1573 1.5726
Br 0.0003 2.2090 9.4078
N 2.0219 3.0783 5.1242
N 0.0002 0.2880 5.8562

Entry 8:
! PBE-GGA Hg2Br2N, relaxed; values from VASP
! VASP energy: -2.17 eV/atom
! crystal system: hexagonal
! magnetic moment: 1.009 μB/f.u.
! uncorrected formation energy: 27.0 kJ/mol of atoms
! space-group type: P-62m
&SYSTEM
  ibrav = 0, nat = 10, ntyp = 3
/
ATOMIC_SPECIES
Hg 200.59 Hg.upf
Br 79.90 Br.upf
N 14.01 N.upf
CELL_PARAMETERS angstrom
3.6036 -6.2415 0.0000
3.6036 6.2415 0.0000
0.0000 0.0000 6.2070
ATOMIC_POSITIONS angstrom
Hg 0.0000 0.0000 3.1035
Hg 3.5683 0.0000 0.0000
Hg 1.8194 3.1513 0.0000
Hg 1.8194 -3.1513 0.0000
Br 0.0000 0.0000 0.0000
Br 2.6263 0.0000 3.1035
Br 2.2904 3.9671 3.1035
Br 2.2904 -3.9671 3.1035
N 3.6036 2.0805 0.0001
N 3.6036 -2.0805 6.2068